DFT (PBE) results for crystalline TaNbBiSe2 at its relaxed geometry.

a = 5.274 Å, b = 5.274 Å, c = 5.375 Å
α = 90.00°, β = 90.00°, γ = 90.00°
Space group P4/mmm (No. 123)
Inequivalent atoms, fractional coordinates:
Ta 0.000 0.000 0.000
Nb 0.500 0.500 0.000
Bi 0.000 0.000 0.500
Se 0.000 0.500 0.500

Properties
**ΔE_f (raw)**: 936.8 kJ/mol of formula units
**Energy**: -23.063 eV per cell

DFT (PBE) results for crystalline NbTlBiSe2 at its relaxed geometry.

a = 5.013 Å, b = 5.013 Å, c = 5.852 Å
α = 90.00°, β = 90.00°, γ = 90.00°
Space group P4/mmm (No. 123)
Inequivalent atoms, fractional coordinates:
Nb 0.000 0.000 0.000
Tl 0.500 0.500 0.500
Bi 0.000 0.000 0.500
Se 0.000 0.500 0.000

Properties
**ΔE_f (raw)**: -76.0 kJ/mol of formula units
**Energy**: -24.074 eV per cell

DFT (PBE) results for crystalline NbTl3Bi3Se8 at its relaxed geometry.

a = 14.567 Å, b = 8.396 Å, c = 9.105 Å
α = 90.00°, β = 122.27°, γ = 90.00°
Space group C2/m (No. 12)
Inequivalent atoms, fractional coordinates:
Nb 0.000 0.000 0.000
Tl 0.000 0.000 0.500
Tl 0.250 0.250 0.500
Bi 0.000 0.500 0.000
Bi 0.250 0.250 0.000
Se 0.010 0.227 0.803
Se 0.217 0.000 0.197
Se 0.240 0.500 0.219

Properties
**ΔE_f (raw)**: -692.7 kJ/mol of formula units
**Energy**: -127.735 eV per cell

DFT (PBE) results for crystalline NbSiBi2 at its relaxed geometry.

a = 6.525 Å, b = 6.525 Å, c = 12.854 Å
α = 90.00°, β = 90.00°, γ = 90.00°
Space group I-42d (No. 122)
Inequivalent atoms, fractional coordinates:
Nb 0.000 0.000 0.000
Si 0.000 0.000 0.500
Bi 0.244 0.250 0.625

Properties
**ΔE_f (raw)**: 326.6 kJ/mol of formula units
**Energy**: -79.477 eV per cell